Entry 1:
{
  "formula": "Pm4Mg5Si2",
  "functional": "PBE",
  "state": "optimized geometry",
  "lattice_angstrom": [[7.6442, 0.0000, 0.0000], [0.0000, 4.2518, 0.0000], [-0.3256, 0.0000, 9.0112]],
  "species": ["Pm", "Pm", "Pm", "Pm", "Mg", "Mg", "Mg", "Mg", "Mg", "Si", "Si"],
  "frac_coords": [[0.1812, 0.0000, 0.3436], [0.2240, 0.0000, 0.9228], [0.7760, 0.0000, 0.0772], [0.8188, 0.0000, 0.6564], [0.1527, 0.5000, 0.6342], [0.4388, 0.5000, 0.1622], [0.5000, 0.5000, 0.5000], [0.5612, 0.5000, 0.8378], [0.8473, 0.5000, 0.3658], [0.0651, 0.5000, 0.1230], [0.9349, 0.5000, 0.8770]],
  "volume_a3_per_atom": 26.625,
  "spacegroup": "P2/m",
  "dft_energy_ev_per_atom": -3.72
}

***

Entry 2:
{
  "formula": "Pm6MgSi2",
  "functional": "PBE",
  "state": "optimized geometry",
  "lattice_angstrom": [[-4.9824, 4.9978, 5.2506], [4.9824, -4.9978, 5.2506], [4.9824, 4.9978, -5.2506]],
  "species": ["Pm", "Pm", "Pm", "Pm", "Pm", "Pm", "Pm", "Pm", "Pm", "Pm", "Pm", "Pm", "Mg", "Mg", "Si", "Si", "Si", "Si"],
  "frac_coords": [[0.0411, 0.2469, 0.7942], [0.1785, 0.2757, 0.4542], [0.1785, 0.7243, 0.9028], [0.3230, 0.0234, 0.7005], [0.3230, 0.6225, 0.2995], [0.4528, 0.2469, 0.2058], [0.5472, 0.7531, 0.7942], [0.6770, 0.3775, 0.7005], [0.6770, 0.9766, 0.2995], [0.8215, 0.2757, 0.0972], [0.8215, 0.7243, 0.5458], [0.9589, 0.7531, 0.2058], [0.0000, 0.0000, 0.0000], [0.5000, 0.5000, 0.0000], [0.1139, 0.6139, 0.5000], [0.3545, 0.0000, 0.3545], [0.6455, 0.0000, 0.6455], [0.8861, 0.3861, 0.5000]],
  "volume_a3_per_atom": 29.055,
  "spacegroup": "Immm",
  "dft_energy_ev_per_atom": -4.92
}

***

We obtain D(E_F) values of 7.4 16.8 states/eV per cell for the records listed above, in that order.